--- w ---
! PBE La2TlZnH, relaxed; values from VASP
&SYSTEM
  ibrav = 0, nat = 5, ntyp = 4
/
ATOMIC_SPECIES
Zn 65.41 Zn.upf
Tl 204.38 Tl.upf
La 138.91 La.upf
H 1.01 H.upf
CELL_PARAMETERS angstrom
5.0389 0.0000 0.0000
0.0000 5.0389 0.0000
0.0000 0.0000 4.6232
ATOMIC_POSITIONS angstrom
Zn 2.5194 2.5194 2.3116
Tl 0.0000 0.0000 2.3116
La 0.0000 2.5194 0.0000
La 2.5194 0.0000 0.0000
H 0.0000 0.0000 0.0000
! **Magnetic moment**: 0.0 μB per formula unit

=====

--- x ---
! PBE La2TlZnH, relaxed; values from VASP
&SYSTEM
  ibrav = 0, nat = 5, ntyp = 4
/
ATOMIC_SPECIES
Zn 65.41 Zn.upf
La 138.91 La.upf
Tl 204.38 Tl.upf
H 1.01 H.upf
CELL_PARAMETERS angstrom
5.0775 0.0000 0.0000
0.0000 5.0775 0.0000
0.0000 0.0000 4.4772
ATOMIC_POSITIONS angstrom
Zn 0.0000 0.0000 2.2386
La 0.0000 2.5388 0.0000
La 2.5388 0.0000 0.0000
Tl 2.5388 2.5388 2.2386
H 0.0000 0.0000 0.0000
! **Magnetic moment**: 0.0 μB per formula unit

=====

So which one is most stable? That would be x, about 95 meV per atom below the next structure.

=====

--- w ---
! PBE LaV3H, relaxed; values from VASP
&SYSTEM
  ibrav = 0, nat = 5, ntyp = 3
/
ATOMIC_SPECIES
La 138.91 La.upf
V 50.94 V.upf
H 1.01 H.upf
CELL_PARAMETERS angstrom
4.2148 0.0000 0.0000
0.0000 4.2148 0.0000
0.0000 0.0000 4.2148
ATOMIC_POSITIONS angstrom
La 2.1074 2.1074 2.1074
V 0.0000 2.1074 0.0000
V 2.1074 0.0000 0.0000
V 0.0000 0.0000 2.1074
H 0.0000 0.0000 0.0000
! **Magnetic moment**: 4.0 μB per formula unit

=====

--- x ---
! PBE LaV3H, relaxed; values from VASP
&SYSTEM
  ibrav = 0, nat = 5, ntyp = 3
/
ATOMIC_SPECIES
H 1.01 H.upf
V 50.94 V.upf
La 138.91 La.upf
CELL_PARAMETERS angstrom
-0.7321 -2.4268 -3.7853
-3.0900 -2.5146 2.2097
-3.2665 2.9226 -1.2419
ATOMIC_POSITIONS angstrom
H -3.5443 -1.0094 -1.4088
V -1.5450 -1.2573 1.1049
V -1.6332 1.4613 -0.6210
V -0.3660 -1.2134 -1.8927
La 0.0000 0.0000 0.0000
! **Magnetic moment**: 0.0 μB per formula unit

=====

So which one is most stable? That would be w, about 1737 meV per atom below the next structure.

=====

--- w ---
! PBE LaHW2, relaxed; values from VASP
&SYSTEM
  ibrav = 0, nat = 8, ntyp = 3
/
ATOMIC_SPECIES
La 138.91 La.upf
H 1.01 H.upf
W 183.84 W.upf
CELL_PARAMETERS angstrom
5.8348 0.0000 0.0000
0.0000 5.8348 0.0000
2.9174 2.9174 4.1244
ATOMIC_POSITIONS angstrom
La 0.0000 0.0000 0.0000
La 5.8348 2.9174 2.0622
H 2.9174 2.9174 0.0000
H 2.9174 5.8348 2.0622
W 2.9175 4.3761 1.0311
W 2.9174 1.4587 1.0311
W 7.2936 5.8348 3.0933
W 4.3761 5.8349 3.0933
! **Magnetic moment**: 0.0 μB per formula unit

=====

--- x ---
! PBE LaHW2, relaxed; values from VASP
&SYSTEM
  ibrav = 0, nat = 4, ntyp = 3
/
ATOMIC_SPECIES
La 138.91 La.upf
W 183.84 W.upf
H 1.01 H.upf
CELL_PARAMETERS angstrom
-0.2509 -4.3276 1.2912
2.0441 -1.3474 3.8033
-2.4704 -1.1427 3.6125
ATOMIC_POSITIONS angstrom
La -0.3386 -3.4089 4.3535
W -0.1693 -1.7044 2.1767
W -0.5079 -5.1133 6.5302
H 0.0000 0.0000 0.0000
! **Magnetic moment**: 0.0 μB per formula unit

=====

So which one is most stable? That would be w, about 1499 meV per atom below the next structure.

=====

--- w ---
! PBE La2HW, relaxed; values from VASP
&SYSTEM
  ibrav = 0, nat = 4, ntyp = 3
/
ATOMIC_SPECIES
W 183.84 W.upf
H 1.01 H.upf
La 138.91 La.upf
CELL_PARAMETERS angstrom
-4.9584 -0.3501 0.2868
-2.4542 2.3406 3.6454
-2.8397 3.9529 -1.0495
ATOMIC_POSITIONS angstrom
W -5.1262 2.9717 1.4414
H 0.0000 0.0000 0.0000
La -7.6893 4.4576 2.1621
La -2.5631 1.4859 0.7207
! **Magnetic moment**: 0.0 μB per formula unit

=====

--- x ---
! PBE La2HW, relaxed; values from VASP
&SYSTEM
  ibrav = 0, nat = 8, ntyp = 3
/
ATOMIC_SPECIES
W 183.84 W.upf
La 138.91 La.upf
H 1.01 H.upf
CELL_PARAMETERS angstrom
-0.2310 -1.2344 5.3744
3.1659 -4.4340 -0.8823
7.0206 0.9120 3.3452
ATOMIC_POSITIONS angstrom
W 4.1285 -1.5783 5.4828
W 0.0000 0.0000 0.0000
La 7.7002 -4.0893 6.4766
La 2.0162 -1.0458 3.8588
La 3.6952 -2.7495 1.1828
La 6.4993 -1.6283 4.1563
H 1.4674 -2.8342 2.2460
H 5.8269 -3.1781 2.3544
! **Magnetic moment**: 1.0 μB per formula unit

=====

So which one is most stable? That would be w, about 87 meV per atom below the next structure.

=====

--- w ---
! PBE LaH2W, relaxed; values from VASP
&SYSTEM
  ibrav = 0, nat = 4, ntyp = 3
/
ATOMIC_SPECIES
La 138.91 La.upf
W 183.84 W.upf
H 1.01 H.upf
CELL_PARAMETERS angstrom
0.0000 2.9920 2.9920
2.9920 0.0000 2.9920
2.9920 2.9920 0.0000
ATOMIC_POSITIONS angstrom
La 0.0000 0.0000 0.0000
W 2.9920 2.9920 2.9920
H 1.4960 1.4960 1.4960
H 4.4880 4.4880 4.4880
! **Magnetic moment**: 0.0 μB per formula unit

=====

--- x ---
! PBE LaH2W, relaxed; values from VASP
&SYSTEM
  ibrav = 0, nat = 8, ntyp = 3
/
ATOMIC_SPECIES
La 138.91 La.upf
H 1.01 H.upf
W 183.84 W.upf
CELL_PARAMETERS angstrom
-2.5620 4.4666 1.3783
0.1264 -1.5050 5.1121
2.0127 3.2021 3.6721
ATOMIC_POSITIONS angstrom
La 0.4606 1.5889 6.0147
La -1.2178 1.4808 3.2452
H -1.2818 3.7520 2.5258
H 0.5863 3.6294 4.7897
H 0.4615 0.0703 4.1780
H -0.6118 4.8757 8.8313
W -0.8836 4.5748 4.1478
W 0.0000 0.0000 0.0000
! **Magnetic moment**: 0.0 μB per formula unit

=====

So which one is most stable? That would be x, about 677 meV per atom below the next structure.

=====

--- w ---
! PBE LaY2H2, relaxed; values from VASP
&SYSTEM
  ibrav = 0, nat = 5, ntyp = 3
/
ATOMIC_SPECIES
H 1.01 H.upf
Y 88.91 Y.upf
La 138.91 La.upf
CELL_PARAMETERS angstrom
-2.2537 0.2129 -2.7496
1.1522 -3.1535 -1.1886
-6.5258 -5.3851 2.6252
ATOMIC_POSITIONS angstrom
H -2.9622 -5.0044 -0.2662
H -4.6651 -3.3213 -1.0467
Y -5.0217 -5.5091 -0.9239
Y -2.6056 -2.8166 -0.3890
La 0.0000 0.0000 0.0000
! **Magnetic moment**: 0.0 μB per formula unit

=====

--- x ---
! PBE LaY2H2, relaxed; values from VASP
&SYSTEM
  ibrav = 0, nat = 10, ntyp = 3
/
ATOMIC_SPECIES
Y 88.91 Y.upf
H 1.01 H.upf
La 138.91 La.upf
CELL_PARAMETERS angstrom
-3.8157 -5.0157 -6.1901
7.2472 0.6659 -5.0069
1.1537 -2.5243 1.3342
ATOMIC_POSITIONS angstrom
Y 1.1685 -3.9839 -8.5480
Y -1.4858 -3.0428 -4.4722
Y 4.9173 -1.3070 -6.7248
Y 2.2629 -0.3658 -2.6490
H 5.0169 -3.5659 -7.5310
H -0.4317 -3.3082 -2.3318
H 4.4794 -1.2828 -2.7465
H 0.1058 -5.5913 -7.1163
La 0.0000 0.0000 0.0000
La 1.7157 -2.1749 -5.5985
! **Magnetic moment**: 1.1 μB per formula unit

=====

So which one is most stable? That would be w, about 765 meV per atom below the next structure.